Entry 1:
Computed, not measured: Sn3AsP after structural relaxation at the PBE level of DFT.

Calculated values
Total moment: 0.00 μB/f.u.
DFT formation energy: 0.241 eV per atom
Excess energy over the best structure of this formula in the dataset: 0.000 eV/f.u.
Space group: Amm2, No. 38

Lattice parameters (Å, degrees): 3.767 7.068 7.068 63.26 90.00 90.00
Atoms (fractional coordinates):
Sn 0.000 0.000 0.000
Sn 0.500 0.001 0.590
Sn 0.500 0.590 0.001
As 0.500 0.158 0.158
P 0.000 0.685 0.685


Entry 2:
Computed, not measured: SnAsP2 after structural relaxation at the PBE level of DFT.

Calculated values
Total moment: 0.00 μB/f.u.
DFT formation energy: 0.288 eV per atom
Excess energy over the best structure of this formula in the dataset: 0.000 eV/f.u.
Space group: I-42d, No. 122

Lattice parameters (Å, degrees): 7.889 7.889 7.889 140.19 140.19 57.57
Atoms (fractional coordinates):
Sn 0.000 0.000 0.000
Sn 0.750 0.250 0.500
As 0.250 0.750 0.500
As 0.500 0.500 0.000
P 0.153 0.625 0.028
P 0.375 0.403 0.528
P 0.597 0.125 0.972
P 0.875 0.847 0.472


Entry 3:
Computed, not measured: SnAsP after structural relaxation at the PBE level of DFT.

Calculated values
Total moment: 0.00 μB/f.u.
DFT formation energy: 0.142 eV per atom
Space group: P3m1, No. 156

Lattice parameters (Å, degrees): 3.849 3.849 4.997 90.00 90.00 120.00
Atoms (fractional coordinates):
Sn 0.000 0.000 0.000
As 0.667 0.333 0.377
P 0.333 0.667 0.666


> Which of these has the lowest DFT formation energy?

SnAsP


What did the first record say?
Computed, not measured: Sn3AsP after structural relaxation at the PBE level of DFT.

Calculated values
Total moment: 0.00 μB/f.u.
DFT formation energy: 0.241 eV per atom
Excess energy over the best structure of this formula in the dataset: 0.000 eV/f.u.
Space group: Amm2, No. 38

Lattice parameters (Å, degrees): 3.767 7.068 7.068 63.26 90.00 90.00
Atoms (fractional coordinates):
Sn 0.000 0.000 0.000
Sn 0.500 0.001 0.590
Sn 0.500 0.590 0.001
As 0.500 0.158 0.158
P 0.000 0.685 0.685